(1)
K2TlCdCl6 | PBE | optimized geometry

The structure in POSCAR format:
```
K2TlCdCl6
1.0
7.334 0.000 0.000
0.000 7.676 0.000
-7.322 0.000 10.545
K Tl Cd Cl
4 2 2 12
Direct
0.225 0.072 0.249 K
0.225 0.428 0.749 K
0.775 0.572 0.251 K
0.775 0.928 0.751 K
0.500 0.000 0.000 Tl
0.500 0.500 0.500 Tl
0.000 0.000 0.500 Cd
0.000 0.500 0.000 Cd
0.137 0.211 0.947 Cl
0.137 0.289 0.447 Cl
0.242 0.692 0.950 Cl
0.242 0.808 0.450 Cl
0.341 0.027 0.740 Cl
0.341 0.473 0.240 Cl
0.659 0.527 0.760 Cl
0.659 0.973 0.260 Cl
0.758 0.192 0.550 Cl
0.758 0.308 0.050 Cl
0.863 0.711 0.553 Cl
0.863 0.789 0.053 Cl
```

Output
Final energy ... -59.696 eV/cell
Formation energy without anion corrections ... -1329 meV per atom

(2)
Pr2CdHg6 | PBE | optimized geometry

The structure in POSCAR format:
```
Pr2CdHg6
1.0
5.231 0.000 0.000
-2.616 4.530 0.000
0.000 0.000 9.624
Pr Cd Hg
2 1 6
Direct
0.333 0.667 0.231 Pr
0.667 0.333 0.769 Pr
0.000 0.000 0.000 Cd
0.000 0.000 0.342 Hg
0.000 0.000 0.658 Hg
0.333 0.667 0.576 Hg
0.333 0.667 0.901 Hg
0.667 0.333 0.099 Hg
0.667 0.333 0.424 Hg
```

Output
Final energy ... -15.325 eV/cell
ΔE to the lowest computed polymorph ... 0.0 meV per atom

(3)
Pu6OsPd5 | PBE | optimized geometry

The structure in POSCAR format:
```
Pu6OsPd5
1.0
7.526 -2.474 0.000
7.526 2.474 0.000
-0.075 0.000 6.884
Pu Os Pd
6 1 5
Direct
0.002 0.002 0.239 Pu
0.342 0.342 0.248 Pu
0.344 0.344 0.758 Pu
0.656 0.656 0.242 Pu
0.658 0.658 0.752 Pu
0.998 0.998 0.761 Pu
0.500 0.500 0.000 Os
0.178 0.178 0.993 Pd
0.179 0.179 0.504 Pd
0.500 0.500 0.500 Pd
0.821 0.821 0.496 Pd
0.822 0.822 0.007 Pd
```

Output
Final energy ... -126.712 eV/cell

Question: Look up the final energy of the third one.
Answer: -126.712 eV/cell